Material: LiRh
Method: DFT, GGA-PBE
State: relaxed

Space-group type = Cm (8)
Crystal system = monoclinic
Total DFT energy (no corrections) = -4.729 eV per atom
ΔE_f = -0.10 eV/atom

Geometry as CIF:
```
data_LiRh
_symmetry_space_group_name_H-M 'P 1'
_symmetry_Int_Tables_number 1
_symmetry_space_group_name_Hall 'P 1'
_cell_length_a 9.6378
_cell_length_b 2.7146
_cell_length_c 6.5071
_cell_angle_alpha 90.00
_cell_angle_beta 106.51
_cell_angle_gamma 90.00
loop_
_atom_site_label
_atom_site_type_symbol
_atom_site_fract_x
_atom_site_fract_y
_atom_site_fract_z
_atom_site_occupancy
Li1 Li 0.0000 0.0000 0.0000 1
Li2 Li 0.0556 0.0000 0.5926 1
Li3 Li 0.3219 0.0000 0.6486 1
Li4 Li 0.5000 0.5000 0.0000 1
Li5 Li 0.5556 0.5000 0.5926 1
Li6 Li 0.8219 0.5000 0.6486 1
Rh1 Rh 0.1637 0.5000 0.3214 1
Rh2 Rh 0.2156 0.5000 0.9317 1
Rh3 Rh 0.3853 0.0000 0.2635 1
Rh4 Rh 0.6637 0.0000 0.3214 1
Rh5 Rh 0.7156 0.0000 0.9317 1
Rh6 Rh 0.8853 0.5000 0.2635 1
```

=====

Material: LiRh
Method: DFT, GGA-PBE
State: relaxed

Space-group type = R-3m (166)
Crystal system = trigonal
Total DFT energy (no corrections) = -4.636 eV per atom
ΔE_f = 0.00 eV/atom

Geometry as CIF:
```
data_LiRh
_symmetry_space_group_name_H-M 'P 1'
_symmetry_Int_Tables_number 1
_symmetry_space_group_name_Hall 'P 1'
_cell_length_a 2.7316
_cell_length_b 2.7316
_cell_length_c 27.2274
_cell_angle_alpha 90.00
_cell_angle_beta 90.00
_cell_angle_gamma 120.00
loop_
_atom_site_label
_atom_site_type_symbol
_atom_site_fract_x
_atom_site_fract_y
_atom_site_fract_z
_atom_site_occupancy
Li1 Li 0.0000 0.0000 0.1187 1
Li2 Li 0.0000 0.0000 0.8813 1
Li3 Li 0.3333 0.6667 0.5480 1
Li4 Li 0.3333 0.6667 0.7853 1
Li5 Li 0.6667 0.3333 0.2147 1
Li6 Li 0.6667 0.3333 0.4520 1
Rh1 Rh 0.0000 0.0000 0.3735 1
Rh2 Rh 0.0000 0.0000 0.6265 1
Rh3 Rh 0.3333 0.6667 0.0402 1
Rh4 Rh 0.3333 0.6667 0.2931 1
Rh5 Rh 0.6667 0.3333 0.7069 1
Rh6 Rh 0.6667 0.3333 0.9598 1
```

=====

Material: Li5Rh
Method: DFT, GGA-PBE
State: relaxed

Space-group type = Cm (8)
Excess energy over the best structure of this formula in the dataset = 10 meV/atom
Crystal system = monoclinic
Total DFT energy (no corrections) = -2.874 eV per atom
ΔE_f = -0.05 eV/atom

Geometry as CIF:
```
data_Li5Rh
_symmetry_space_group_name_H-M 'P 1'
_symmetry_Int_Tables_number 1
_symmetry_space_group_name_Hall 'P 1'
_cell_length_a 10.5180
_cell_length_b 2.7268
_cell_length_c 6.8910
_cell_angle_alpha 90.00
_cell_angle_beta 106.12
_cell_angle_gamma 90.00
loop_
_atom_site_label
_atom_site_type_symbol
_atom_site_fract_x
_atom_site_fract_y
_atom_site_fract_z
_atom_site_occupancy
Li1 Li 0.0000 0.0000 0.0000 1
Li2 Li 0.0573 0.0000 0.6456 1
Li3 Li 0.1700 0.5000 0.3218 1
Li4 Li 0.3103 0.0000 0.7049 1
Li5 Li 0.3831 0.0000 0.2687 1
Li6 Li 0.5000 0.5000 0.0000 1
Li7 Li 0.5573 0.5000 0.6456 1
Li8 Li 0.6700 0.0000 0.3218 1
Li9 Li 0.8103 0.5000 0.7049 1
Li10 Li 0.8831 0.5000 0.2687 1
Rh1 Rh 0.2183 0.5000 0.9671 1
Rh2 Rh 0.7183 0.0000 0.9671 1
```

=====

Material: Li3Rh2
Method: DFT, GGA-PBE
State: relaxed

Space-group type = C2/m (12)
Excess energy over the best structure of this formula in the dataset = 20 meV/atom
Crystal system = monoclinic
Total DFT energy (no corrections) = -4.212 eV per atom
ΔE_f = -0.12 eV/atom

Geometry as CIF:
```
data_Li3Rh2
_symmetry_space_group_name_H-M 'P 1'
_symmetry_Int_Tables_number 1
_symmetry_space_group_name_Hall 'P 1'
_cell_length_a 8.9383
_cell_length_b 2.7383
_cell_length_c 6.5582
_cell_angle_alpha 90.00
_cell_angle_beta 123.50
_cell_angle_gamma 90.00
loop_
_atom_site_label
_atom_site_type_symbol
_atom_site_fract_x
_atom_site_fract_y
_atom_site_fract_z
_atom_site_occupancy
Li1 Li 0.0000 0.0000 0.0000 1
Li2 Li 0.1047 0.5000 0.4016 1
Li3 Li 0.3953 0.0000 0.5984 1
Li4 Li 0.5000 0.5000 0.0000 1
Li5 Li 0.6047 0.0000 0.4016 1
Li6 Li 0.8953 0.5000 0.5984 1
Rh1 Rh 0.1868 0.0000 0.8007 1
Rh2 Rh 0.3132 0.5000 0.1993 1
Rh3 Rh 0.6868 0.5000 0.8007 1
Rh4 Rh 0.8132 0.0000 0.1993 1
```